Entry 1:
! Mo4As3W2C3 (PBE-GGA, relaxed); values from VASP
&SYSTEM
  ibrav = 0, nat = 24, ntyp = 4
/
ATOMIC_SPECIES
As 74.92 As.upf
C 12.01 C.upf
Mo 95.94 Mo.upf
W 183.84 W.upf
CELL_PARAMETERS angstrom
-3.174 3.440 -3.097
-4.933 -1.764 -2.012
-3.017 3.442 11.613
ATOMIC_POSITIONS crystal
As 0.260 0.415 0.249
As 0.905 0.095 0.250
As 0.585 0.740 0.251
As 0.415 0.260 0.749
As 0.095 0.905 0.750
As 0.740 0.585 0.751
C 0.500 0.000 0.000
C 0.818 0.337 0.001
C 0.663 0.182 0.499
C 0.000 0.500 0.500
C 0.337 0.818 0.501
C 0.182 0.663 0.999
Mo 0.176 0.060 0.093
Mo 0.894 0.686 0.093
Mo 0.314 0.106 0.407
Mo 0.940 0.824 0.407
Mo 0.060 0.176 0.593
Mo 0.686 0.894 0.593
Mo 0.106 0.314 0.907
Mo 0.824 0.940 0.907
W 0.518 0.343 0.082
W 0.657 0.482 0.418
W 0.343 0.518 0.582
W 0.482 0.657 0.918
! Space-group type ... C2/c, No. 15
! ρ ... 10.19 g/cm3



Entry 2:
! Y4Mo2As3C3 (PBE-GGA, relaxed); values from VASP
&SYSTEM
  ibrav = 0, nat = 24, ntyp = 4
/
ATOMIC_SPECIES
As 74.92 As.upf
C 12.01 C.upf
Mo 95.94 Mo.upf
Y 88.91 Y.upf
CELL_PARAMETERS angstrom
5.228 -3.015 0.000
5.228 3.015 0.000
-3.412 0.000 13.151
ATOMIC_POSITIONS crystal
As 0.306 0.406 0.250
As 0.844 0.156 0.250
As 0.594 0.694 0.250
As 0.406 0.306 0.750
As 0.156 0.844 0.750
As 0.694 0.594 0.750
C 0.500 0.000 0.000
C 0.797 0.354 0.001
C 0.646 0.203 0.499
C 0.000 0.500 0.500
C 0.354 0.797 0.501
C 0.203 0.646 0.999
Mo 0.523 0.344 0.076
Mo 0.656 0.477 0.424
Mo 0.344 0.523 0.576
Mo 0.477 0.656 0.924
Y 0.192 0.041 0.106
Y 0.882 0.702 0.106
Y 0.298 0.118 0.394
Y 0.959 0.808 0.394
Y 0.041 0.192 0.606
Y 0.702 0.882 0.606
Y 0.118 0.298 0.894
Y 0.808 0.959 0.894
! Space-group type ... C2/c, No. 15
! ρ ... 6.48 g/cm3



Entry 3:
! Nb3AsCN (PBE-GGA, relaxed); values from VASP
&SYSTEM
  ibrav = 0, nat = 12, ntyp = 4
/
ATOMIC_SPECIES
As 74.92 As.upf
C 12.01 C.upf
N 14.01 N.upf
Nb 92.91 Nb.upf
CELL_PARAMETERS angstrom
-1.430 -1.411 2.511
-1.100 -0.519 -2.977
10.877 -13.872 -1.602
ATOMIC_POSITIONS crystal
As 0.000 0.000 0.252
As 0.000 0.000 0.748
C 0.333 0.667 0.074
C 0.667 0.333 0.926
N 0.333 0.667 0.430
N 0.667 0.333 0.570
Nb 0.000 0.000 0.000
Nb 0.667 0.333 0.142
Nb 0.667 0.333 0.361
Nb 0.000 0.000 0.500
Nb 0.333 0.667 0.639
Nb 0.333 0.667 0.858
! Space-group type ... P-3m1, No. 164
! ρ ... 7.95 g/cm3



Entry 4:
! AsW3CN (PBE-GGA, relaxed); values from VASP
&SYSTEM
  ibrav = 0, nat = 12, ntyp = 4
/
ATOMIC_SPECIES
As 74.92 As.upf
C 12.01 C.upf
N 14.01 N.upf
W 183.84 W.upf
CELL_PARAMETERS angstrom
3.107 0.000 0.000
-1.554 2.691 0.000
0.000 0.000 17.792
ATOMIC_POSITIONS crystal
As 0.000 0.000 0.252
As 0.000 0.000 0.748
C 0.333 0.667 0.073
C 0.667 0.333 0.927
N 0.333 0.667 0.430
N 0.667 0.333 0.570
W 0.000 0.000 0.000
W 0.667 0.333 0.136
W 0.667 0.333 0.360
W 0.000 0.000 0.500
W 0.333 0.667 0.640
W 0.333 0.667 0.864
! Space-group type ... P-3m1, No. 164
! ρ ... 14.57 g/cm3



Entry 5:
! Zr3AsCN (PBE-GGA, relaxed); values from VASP
&SYSTEM
  ibrav = 0, nat = 12, ntyp = 4
/
ATOMIC_SPECIES
As 74.92 As.upf
C 12.01 C.upf
N 14.01 N.upf
Zr 91.22 Zr.upf
CELL_PARAMETERS angstrom
-1.313 -0.949 -3.005
-1.072 -1.491 2.878
-12.757 12.388 1.665
ATOMIC_POSITIONS crystal
As 0.000 0.000 0.254
As 0.000 0.000 0.746
C 0.333 0.667 0.077
C 0.667 0.333 0.923
N 0.333 0.667 0.427
N 0.667 0.333 0.573
Zr 0.000 0.000 0.000
Zr 0.667 0.333 0.144
Zr 0.667 0.333 0.360
Zr 0.000 0.000 0.500
Zr 0.333 0.667 0.640
Zr 0.333 0.667 0.856
! Space-group type ... P-3m1, No. 164
! ρ ... 6.90 g/cm3



Entry 6:
! Zr4As2CN (PBE-GGA, relaxed); values from VASP
&SYSTEM
  ibrav = 0, nat = 8, ntyp = 4
/
ATOMIC_SPECIES
As 74.92 As.upf
C 12.01 C.upf
N 14.01 N.upf
Zr 91.22 Zr.upf
CELL_PARAMETERS angstrom
-3.437 0.333 0.239
1.812 -1.220 2.685
1.433 11.679 4.340
ATOMIC_POSITIONS crystal
As 0.667 0.333 0.253
As 0.333 0.667 0.747
C 0.000 0.000 0.000
N 0.000 0.000 0.500
Zr 0.333 0.667 0.100
Zr 0.333 0.667 0.403
Zr 0.667 0.333 0.597
Zr 0.667 0.333 0.900
! Space-group type ... P-3m1, No. 164
! ρ ... 6.90 g/cm3



| no. | total energy (eV per atom) |
| --- | --- |
| 1 | -9.2290 |
| 2 | -7.9984 |
| 3 | -9.3723 |
| 4 | -9.8766 |
| 5 | -9.1487 |
| 6 | -8.7935 |